Record 1
{"formula": "ZrAlMo2", "functional": "PBE-GGA", "state": "optimized geometry", "magnetic_moment_mub_per_fu": 0.00, "rho_g_cm3": 7.342, "space_group": "P4/mmm, No. 123", "cell": [[3.427, 0.000, 0.000], [0.000, 3.427, 0.000], [0.000, 0.000, 5.972]], "species": ["Mo", "Mo", "Al", "Zr"], "frac_coords": [[0.000, 0.000, 0.956], [0.000, 0.000, 0.544], [0.500, 0.500, 0.750], [0.500, 0.500, 0.250]]}

=====

Record 2
{"formula": "Zr3Al8Mo", "functional": "PBE-GGA", "state": "optimized geometry", "magnetic_moment_mub_per_fu": 0.00, "rho_g_cm3": 4.766, "space_group": "R3m, No. 160", "cell": [[5.241, 0.000, 0.000], [2.620, 4.539, 0.000], [2.620, 1.513, 8.575]], "species": ["Zr", "Zr", "Zr", "Al", "Al", "Al", "Al", "Al", "Al", "Al", "Al", "Mo"], "frac_coords": [[0.375, 0.375, 0.876], [0.997, 0.997, 0.010], [0.502, 0.502, 0.494], [0.935, 0.437, 0.190], [0.438, 0.939, 0.685], [0.437, 0.437, 0.190], [0.939, 0.939, 0.685], [0.188, 0.188, 0.437], [0.687, 0.687, 0.939], [0.437, 0.935, 0.190], [0.939, 0.438, 0.685], [0.877, 0.877, 0.370]]}

=====

Record 3
{"formula": "Zr2AlMo", "functional": "PBE-GGA", "state": "optimized geometry", "magnetic_moment_mub_per_fu": 0.00, "rho_g_cm3": 6.648, "space_group": "P4mm, No. 99", "cell": [[2.873, 0.000, 0.000], [0.000, 2.873, 0.000], [0.000, 0.000, 9.242]], "species": ["Mo", "Al", "Zr", "Zr"], "frac_coords": [[0.500, 0.500, 0.724], [0.000, 0.000, 0.516], [0.000, 0.000, 0.987], [0.500, 0.500, 0.273]]}

=====

Record 4
{"formula": "Zr2AlMo", "functional": "PBE-GGA", "state": "optimized geometry", "magnetic_moment_mub_per_fu": 0.00, "rho_g_cm3": 6.766, "space_group": "F-43m, No. 216", "cell": [[-2.138, -4.133, 0.859], [1.255, -3.863, -2.428], [2.366, -3.485, 2.156]], "species": ["Mo", "Al", "Zr", "Zr"], "frac_coords": [[0.750, 0.750, 0.750], [0.500, 0.500, 0.500], [0.000, 0.000, 0.000], [0.250, 0.250, 0.250]]}

=====

no.,total energy (eV per atom)
1,-8.5982
2,-5.9361
3,-7.8957
4,-7.9721